Record 1
Below is a PBEsol-optimized structure of KZn2TcB, with properties calculated at the SCAN level. Values from VASP.

Quantum ESPRESSO input file:
```
&SYSTEM
  ibrav = 0, nat = 5, ntyp = 4
/
ATOMIC_SPECIES
Tc 98.00 Tc.upf
K 39.10 K.upf
Zn 65.41 Zn.upf
B 10.81 B.upf
CELL_PARAMETERS angstrom
-3.688 1.922 -0.607
-1.473 -3.503 -2.141
-1.485 -1.666 3.747
ATOMIC_POSITIONS crystal
Tc 0.500 0.000 0.000
K 0.500 0.500 0.500
Zn 0.000 0.500 0.000
Zn 0.000 0.000 0.500
B 0.000 0.000 0.000
```

Computed properties:
For the formation energy, the calculation gives 3.673 eV/f.u. As for the density of states at the Fermi level: 2.5 states/eV/cell.

Record 2
Below is a PBEsol-optimized structure of KBTe2, with properties calculated at the SCAN level. Values from VASP.

Quantum ESPRESSO input file:
```
&SYSTEM
  ibrav = 0, nat = 8, ntyp = 3
/
ATOMIC_SPECIES
B 10.81 B.upf
Te 127.60 Te.upf
K 39.10 K.upf
CELL_PARAMETERS angstrom
6.647 0.036 0.055
-2.734 6.059 -0.055
-2.734 -2.548 5.497
ATOMIC_POSITIONS crystal
B 0.500 0.250 0.750
Te 0.117 0.242 0.625
Te 0.383 0.875 0.758
Te 0.617 0.375 0.492
B 0.000 0.500 0.500
K 0.500 0.750 0.250
K 0.000 0.000 0.000
Te 0.883 0.508 0.125
```

Computed properties:
As for the density of states at the Fermi level: 0.0 states/eV/cell. Its uncorrected formation energy is -0.277 eV per atom.

Record 3
Below is a PBEsol-optimized structure of KTl3B, with properties calculated at the SCAN level. Values from VASP.

Quantum ESPRESSO input file:
```
&SYSTEM
  ibrav = 0, nat = 5, ntyp = 3
/
ATOMIC_SPECIES
Tl 204.38 Tl.upf
K 39.10 K.upf
B 10.81 B.upf
CELL_PARAMETERS angstrom
5.939 0.000 0.000
0.000 5.939 0.000
0.000 0.000 5.939
ATOMIC_POSITIONS crystal
Tl 0.000 0.500 0.000
Tl 0.000 0.000 0.500
Tl 0.500 0.000 0.000
K 0.000 0.000 0.000
B 0.500 0.500 0.500
```

Computed properties:
For the formation energy, the calculation gives 8.426 eV/f.u. As for the density of states at the Fermi level: 6.9 states/eV/cell. The energy relative to the lowest polymorph listed for this composition is 1190 meV/atom.